1.
Compound: Tb2InSi2Rh5
Source: the Alexandria database
Functional: PBE
Structure: relaxed

Lattice parameters (Å, degrees): 9.843 9.843 3.517 90.00 90.00 90.00
Element x y z (fractional)
1 Tb 0.176 0.324 0.000
2 Tb 0.324 0.824 0.000
3 Tb 0.676 0.176 0.000
4 Tb 0.824 0.676 0.000
5 In 0.000 0.000 0.000
6 In 0.500 0.500 0.000
7 Si 0.122 0.622 0.000
8 Si 0.378 0.122 0.000
9 Si 0.622 0.878 0.000
10 Si 0.878 0.378 0.000
11 Rh 0.000 0.500 0.500
12 Rh 0.069 0.782 0.500
13 Rh 0.218 0.069 0.500
14 Rh 0.282 0.569 0.500
15 Rh 0.431 0.282 0.500
16 Rh 0.500 0.000 0.500
17 Rh 0.569 0.718 0.500
18 Rh 0.718 0.431 0.500
19 Rh 0.782 0.931 0.500
20 Rh 0.931 0.218 0.500

## Properties
Its energy relative to the elements, uncorrected is -21.9 kcal/mol of atoms. The space group is P4/mbm, No. 127.

2.
Compound: ScNi2Ru
Source: the Alexandria database
Functional: PBE
Structure: relaxed

Lattice parameters (Å, degrees): 4.679 4.679 4.679 132.16 131.83 70.24
Element x y z (fractional)
1 Sc 0.000 0.000 0.000
2 Ni 0.251 0.751 0.500
3 Ni 0.500 0.500 0.000
4 Ru 0.749 0.249 0.500

## Properties
The formation energy comes out at -0.152 eV/atom. The space group is Imm2, No. 44.

3.
Compound: RbMg3Os
Source: the Alexandria database
Functional: PBE
Structure: relaxed

Lattice parameters (Å, degrees): 5.207 5.207 5.207 90.00 90.00 90.00
Element x y z (fractional)
1 Rb 0.000 0.000 0.000
2 Mg 0.000 0.500 0.500
3 Mg 0.500 0.000 0.500
4 Mg 0.500 0.500 0.000
5 Os 0.500 0.500 0.500

## Properties
The formation energy comes out at 0.383 eV/atom. The space group is Pm-3m, No. 221.

4.
Compound: TaReSi2
Source: the Alexandria database
Functional: PBE
Structure: relaxed

Lattice parameters (Å, degrees): 2.993 2.993 6.470 90.00 90.00 90.00
Element x y z (fractional)
1 Ta 0.000 0.000 0.000
2 Re 0.000 0.000 0.500
3 Si 0.500 0.500 0.283
4 Si 0.500 0.500 0.717

## Properties
Its energy relative to the elements, uncorrected is -4.7 kcal/mol of atoms. The space group is P4/mmm, No. 123.

So what do the calculations give for electronic total energy? Going down the list: -6.908; -6.945; -3.014; -8.991 eV/atom.
So what do the calculations give for N(E_F)? Going down the list: 3.52; 4.91; 2.45; 2.03 states/eV/f.u..